1.
PuZr2Nb3N6 (PBE, optimized geometry); VASP energy = -0.7774 Ry per atom; symmetry = C2/m, No. 12; D(E_F) = 0.66 states/eV per atom; size of the total moment = 4.20 μB/cell
1.0
7.024 -1.619 0.000
7.024 1.619 0.000
-1.425 0.000 6.289
Pu Zr Nb N
1 2 3 6
direct
0.000 0.000 0.000
0.333 0.333 0.667
0.667 0.667 0.333
0.000 0.000 0.500
0.333 0.333 0.162
0.667 0.667 0.838
0.166 0.166 0.586
0.171 0.171 0.085
0.499 0.499 0.263
0.501 0.501 0.737
0.829 0.829 0.915
0.834 0.834 0.414

***

2.
Pu2ZrNbN4 (PBE, optimized geometry); VASP energy = -0.8398 Ry per atom; symmetry = P2/m, No. 10; D(E_F) = 1.36 states/eV per atom; size of the total moment = 0.04 μB/cell
1.0
5.748 0.000 0.000
0.000 3.326 0.000
-1.915 0.000 5.449
Pu Zr Nb N
2 1 1 4
direct
0.000 0.000 0.000
0.500 0.500 0.000
0.000 0.500 0.500
0.500 0.000 0.500
0.249 0.000 0.730
0.260 0.500 0.271
0.740 0.500 0.729
0.751 0.000 0.270

***

The lowest VASP energy belongs to which entry?
Pu2ZrNbN4

***

Among the records above, which one has the lowest size of the total moment?
Pu2ZrNbN4

***

What is the VASP energy in the first record?
-0.7774 Ry per atom

***

The highest D(E_F) belongs to which entry?
Pu2ZrNbN4